# 1
# SrLa2TbAs4

Crystalline SrLa2TbAs4 at its relaxed geometry (PBE-GGA, Alexandria via LeMat-Bulk).

The structure in extended XYZ format:
```
8
Lattice="7.4590 0.0000 0.0000 0.0000 4.3443 0.0000 -2.5351 0.0000 7.1323" Properties=species:S:1:pos:R:3 pbc="T T T"
Sr 0.0000 0.0000 0.0000
La 2.4619 0.0000 3.5662
La 3.7295 2.1721 0.0000
Tb -1.2675 2.1721 3.5662
As -0.0500 0.0000 5.2686
As 1.2189 2.1721 1.8688
As 3.7049 2.1721 5.2635
As 4.9739 0.0000 1.8637
```

Values from the calculation:
- Space group: P2/m
- Total magnetization: 0.0 μB/cell
- Energy relative to the elements: -1.360 eV/atom


# 2
# SrLaTeAs

Crystalline SrLaTeAs at its relaxed geometry (PBE-GGA, Alexandria via LeMat-Bulk).

The structure in extended XYZ format:
```
4
Lattice="2.2672 1.3090 7.5431 -2.2672 1.3090 7.5431 0.0000 -2.6179 7.5431" Properties=species:S:1:pos:R:3 pbc="T T T"
Sr 0.0000 0.0000 0.0000
La 0.0000 0.0000 10.9377
Te 0.0000 0.0000 5.4384
As 0.0000 0.0000 16.9470
```

Values from the calculation:
- Space group: R3m
- Formation energy from raw total energies: -1.59 eV per atom
- Total magnetization: 0.0 μB/cell